(1)
# YBeAu2O PBE-GGA relaxed
data_YBeAu2O
_chemical_formula_sum 'Y1 Be1 Au2 O1'
_space_group_name_H-M_alt 'P 4/m m m'
_space_group_IT_number 123
_space_group_name_Hall '-P 4 2'
_cell_length_a 5.408
_cell_length_b 5.408
_cell_length_c 3.042
_cell_angle_alpha 90.00
_cell_angle_beta 90.00
_cell_angle_gamma 90.00
loop_
_atom_site_label
_atom_site_type_symbol
_atom_site_fract_x
_atom_site_fract_y
_atom_site_fract_z
Y1 Y 0.000 0.000 0.000
Be1 Be 0.500 0.500 0.500
Au1 Au 0.000 0.500 0.500
O1 O 0.500 0.500 0.000
# Magnetization   0.000 μB/atom
# Energy relative to the elements, uncorrected   -386 kJ/mol of formula units

---

(2)
# BeOs2Au PBE-GGA relaxed
data_BeOs2Au
_chemical_formula_sum 'Be2 Os4 Au2'
_space_group_name_H-M_alt 'I 4/m m m'
_space_group_IT_number 139
_space_group_name_Hall '-I 4 2'
_cell_length_a 3.774
_cell_length_b 3.774
_cell_length_c 7.966
_cell_angle_alpha 90.00
_cell_angle_beta 90.00
_cell_angle_gamma 90.00
loop_
_atom_site_label
_atom_site_type_symbol
_atom_site_fract_x
_atom_site_fract_y
_atom_site_fract_z
Be1 Be 0.000 0.000 0.000
Os1 Os 0.000 0.500 0.250
Au1 Au 0.000 0.000 0.500
# DFT formation energy   0.633 eV/atom
# Magnetization   0.000 μB/atom